Here is a relaxed Sr2Cu2MoO7 crystal from Alexandria. Energies are from GGA+U.

Summary:
Density: 4.673 g/cm3
Calculated volume: 15.11 A^3/atom
Raw total energy: -5.901 eV per atom
D(E_F): 3.38 states/eV/f.u.

Cell: 13.3622 13.3622 5.3092 Å, 101.44 101.44 147.33°
Last column: nearest neighbours and their distance in Å.
Atoms (fractional coordinates):
Sr 0.1158 0.8842 0.0000  4 O 2.41-2.44
Sr 0.3663 0.5997 0.9838  4 O 2.40-2.43
Sr 0.5997 0.3663 0.9838  4 O 2.40-2.43
Sr 0.8842 0.1158 0.0000  4 O 2.41-2.44
Cu 0.1808 0.7987 0.4903  4 O 1.92-1.93
Cu 0.3029 0.6851 0.4949  4 O 1.92-1.93
Cu 0.6851 0.3029 0.4949  4 O 1.92-1.93
Cu 0.7987 0.1808 0.4903  4 O 1.92-1.93
Mo 0.5867 0.5867 0.5040  4 O 1.82-1.99
Mo 0.9021 0.9021 0.3855  3 O 1.82-1.98
O 0.0646 0.4182 0.4917  2 Cu 1.92
O 0.0656 0.4179 0.9930  2 Cu 1.93
O 0.0841 0.9515 0.5457  1 Mo 1.82
O 0.4100 0.5405 0.4683  1 Mo 1.82
O 0.4182 0.0646 0.4917  2 Cu 1.92
O 0.4179 0.0656 0.9930  2 Cu 1.93
O 0.5365 0.5365 0.0824  2 Mo 1.98-1.99
O 0.5405 0.4100 0.4683  1 Mo 1.82
O 0.5673 0.9172 0.4933  2 Cu 1.92
O 0.5688 0.9158 0.9926  2 Cu 1.93
O 0.9057 0.9057 0.0028  2 Mo 1.95-2.05
O 0.9158 0.5688 0.9926  2 Cu 1.93
O 0.9172 0.5673 0.4933  2 Cu 1.92
O 0.9515 0.0841 0.5457  1 Mo 1.82